Record 1
LiAs2Cl (PBE, optimized geometry); N(E_F) = 0.625 states/eV/atom; polymorph energy (0 for the lowest one) = 1.146 eV/atom; formation energy from raw total energies = 0.324 eV/atom; size of the total moment = 0.0 μB/f.u.
1.0
1.484 -4.492 0.656
-1.920 -3.547 -2.558
2.582 -2.179 -3.376
As Li Cl
2 1 1
Direct
0.250 0.250 0.250
0.750 0.750 0.750
0.000 0.000 0.000
0.500 0.500 0.500

---

Record 2
ScTi2Al2 (PBE, optimized geometry); N(E_F) = 0.828 states/eV/atom; energy relative to the elements = 0.14 eV per atom; polymorph energy (0 for the lowest one) = 0.432 eV/atom; size of the total moment = 1.2 μB/f.u.
1.0
4.018 0.000 0.000
0.000 4.018 0.000
2.009 2.009 5.943
Sc Al Ti
1 2 2
Direct
0.000 0.000 0.000
0.750 0.250 0.500
0.250 0.750 0.500
0.405 0.405 0.191
0.595 0.595 0.809

---

Record 3
La6Nd2Y (PBE, optimized geometry); N(E_F) = 1.922 states/eV/atom; energy relative to the elements = 0.05 eV per atom; polymorph energy (0 for the lowest one) = 0.000 eV/atom; size of the total moment = 0.0 μB/f.u.
1.0
3.694 0.000 0.000
-1.847 3.199 0.000
0.000 0.000 27.712
La Nd Y
6 2 1
Direct
0.667 0.333 0.894
0.333 0.667 0.438
0.333 0.667 0.781
0.333 0.667 0.219
0.333 0.667 0.562
0.667 0.333 0.106
0.667 0.333 0.331
0.667 0.333 0.669
0.333 0.667 0.000

---

Record 4
Cs2S2Br (PBE, optimized geometry); N(E_F) = 0.559 states/eV/atom; polymorph energy (0 for the lowest one) = 0.000 eV/atom; formation energy from raw total energies = -1.065 eV/atom; size of the total moment = 0.0 μB/f.u.
1.0
-2.774 2.787 3.299
-1.738 -1.910 4.145
6.558 4.641 5.587
Cs S Br
2 2 1
Direct
0.196 0.368 0.239
0.804 0.632 0.761
0.605 0.267 0.523
0.395 0.733 0.477
0.000 0.000 0.000

---

Record 5
SrHoAs2O8 (PBE, optimized geometry); N(E_F) = 0.581 states/eV/atom; formation energy from raw total energies = -2.022 eV/atom; size of the total moment = 1.1 μB/f.u.
1.0
5.158 0.000 0.000
0.000 5.158 0.000
-2.579 -2.579 5.875
Sr Ho As O
1 1 2 8
Direct
0.750 0.250 0.500
0.000 0.000 0.000
0.500 0.500 0.000
0.250 0.750 0.500
0.723 0.822 0.145
0.422 0.323 0.145
0.582 0.710 0.665
0.083 0.955 0.665
0.045 0.418 0.335
0.290 0.917 0.335
0.178 0.578 0.855
0.677 0.277 0.855

---

Record 6
GdDyGaAg (PBE, optimized geometry); N(E_F) = 0.810 states/eV/atom; energy relative to the elements = -0.46 eV per atom; size of the total moment = 7.4 μB/f.u.
1.0
-3.082 -3.682 1.835
-0.397 -4.489 -2.473
2.022 -4.255 2.056
Gd Ga Ag Dy
1 1 1 1
Direct
0.750 0.750 0.750
0.000 0.000 0.000
0.500 0.500 0.500
0.250 0.250 0.250